1.
Sm2PuBi3 | GGA-PBE | optimized geometry

Results
As for the space-group type: Immm (71). The distance to the lowest polymorph of the same formula comes out at 0.003 eV per atom. The formation energy is -0.72 eV/atom.

Lattice parameters (Å, degrees): 4.5599 6.4335 13.6467 90.00 90.00 90.00
Sites, in units of the cell vectors:
Sm: 0.0000 0.0000 0.1673
Sm: 0.0000 0.0000 0.8327
Sm: 0.5000 0.5000 0.3327
Sm: 0.5000 0.5000 0.6673
Pu: 0.0000 0.0000 0.5000
Pu: 0.5000 0.5000 0.0000
Bi: 0.0000 0.5000 0.1648
Bi: 0.0000 0.5000 0.5000
Bi: 0.0000 0.5000 0.8352
Bi: 0.5000 0.0000 0.0000
Bi: 0.5000 0.0000 0.3352
Bi: 0.5000 0.0000 0.6648

---

2.
Ba8H4N3O | GGA-PBE | optimized geometry

Results
As for the space-group type: R-3m (166). For the total energy, the calculation gives -4.373 eV/atom.

Lattice parameters (Å, degrees): 8.2922 8.2922 8.2922 58.13 58.13 58.13
Sites, in units of the cell vectors:
Ba: 0.2375 0.7415 0.7415
Ba: 0.2423 0.2423 0.2423
Ba: 0.2585 0.2585 0.7625
Ba: 0.2585 0.7625 0.2585
Ba: 0.7415 0.2374 0.7415
Ba: 0.7415 0.7415 0.2374
Ba: 0.7577 0.7577 0.7577
Ba: 0.7625 0.2585 0.2585
H: 0.0000 0.0000 0.0000
H: 0.0000 0.5000 0.5000
H: 0.5000 0.0000 0.5000
H: 0.5000 0.5000 0.0000
N: 0.0000 0.0000 0.5000
N: 0.0000 0.5000 0.0000
N: 0.5000 0.0000 0.0000
O: 0.5000 0.5000 0.5000

---

3.
Sm8Te4IrS3 | GGA-PBE | optimized geometry

Results
As for the space-group type: R-3m (166). The calculation puts the formation energy from raw total energies at -1556 meV per atom.

Lattice parameters (Å, degrees): 8.6307 8.6307 8.6307 58.47 58.47 58.47
Sites, in units of the cell vectors:
Sm: 0.2364 0.2364 0.2364
Sm: 0.2434 0.7339 0.7339
Sm: 0.2661 0.2661 0.7566
Sm: 0.2661 0.7566 0.2661
Sm: 0.7339 0.2434 0.7339
Sm: 0.7339 0.7339 0.2434
Sm: 0.7566 0.2661 0.2661
Sm: 0.7636 0.7636 0.7636
Te: 0.0000 0.0000 0.0000
Te: 0.0000 0.5000 0.5000
Te: 0.5000 0.0000 0.5000
Te: 0.5000 0.5000 0.0000
Ir: 0.5000 0.5000 0.5000
S: 0.0000 0.0000 0.5000
S: 0.0000 0.5000 0.0000
S: 0.5000 0.0000 0.0000

---

4.
TcMo2W | GGA-PBE | optimized geometry

Results
As for the space-group type: Cmmm (65). The distance to the lowest polymorph of the same formula comes out at 0.047 eV per atom. The formation energy is 0.06 eV/atom.

Lattice parameters (Å, degrees): 3.1556 4.4547 8.9077 90.00 90.00 90.00
Sites, in units of the cell vectors:
Tc: 0.0000 0.0000 0.0000
Tc: 0.5000 0.5000 0.0000
Mo: 0.0000 0.5000 0.2470
Mo: 0.0000 0.5000 0.7530
Mo: 0.5000 0.0000 0.2470
Mo: 0.5000 0.0000 0.7530
W: 0.0000 0.0000 0.5000
W: 0.5000 0.5000 0.5000